Computed, not measured: a relaxed structure of Ba2Pm3P3 at the PBE level of DFT.

Summary:
E	-4.41	eV/atom
mass density	4.39	g/cm³
spin magnetization	0.9	μB per formula unit

Unit cell a=4.376 b=4.376 c=15.840 alpha=90.00 beta=90.00 gamma=90.00
Element x y z (fractional)
Ba  0.000  0.500  0.208
Ba  0.500  0.000  0.792
Pm  0.000  0.000  0.000
Pm  0.000  0.000  0.500
Pm  0.500  0.500  0.500
P  0.500  0.500  0.000
P  0.500  0.500  0.334
P  0.500  0.500  0.666

---

Computed, not measured: a relaxed structure of BaPr2P4 at the PBE level of DFT.

Summary:
E	-5.25	eV/atom
mass density	4.61	g/cm³
spin magnetization	0.0	μB per formula unit

Unit cell a=13.751 b=12.863 c=6.254 alpha=84.48 beta=68.60 gamma=26.92
Element x y z (fractional)
Ba  0.125  0.125  0.125
Ba  0.875  0.875  0.875
Pr  0.256  0.256  0.494
Pr  0.494  0.494  0.256
Pr  0.506  0.506  0.744
Pr  0.744  0.744  0.506
P  0.143  0.691  0.210
P  0.210  0.455  0.143
P  0.309  0.857  0.545
P  0.455  0.210  0.691
P  0.545  0.790  0.309
P  0.691  0.143  0.455
P  0.790  0.545  0.857
P  0.857  0.309  0.790

---

Computed, not measured: a relaxed structure of BaP2Pt at the PBE level of DFT.

Summary:
E	-4.43	eV/atom
mass density	6.95	g/cm³
spin magnetization	0.0	μB per formula unit

Unit cell a=4.099 b=4.099 c=5.606 alpha=90.00 beta=90.00 gamma=90.00
Element x y z (fractional)
Ba  0.000  0.000  0.000
P  0.000  0.000  0.500
P  0.500  0.500  0.000
Pt  0.500  0.500  0.500

---

Computed, not measured: a relaxed structure of Ba2P6PtW at the PBE level of DFT.

Summary:
E	-5.87	eV/atom
mass density	5.89	g/cm³
spin magnetization	0.0	μB per formula unit

Unit cell a=6.749 b=6.749 c=11.992 alpha=90.00 beta=90.00 gamma=120.00
Element x y z (fractional)
Ba  0.333  0.667  0.078
Ba  0.333  0.667  0.422
Ba  0.667  0.333  0.578
Ba  0.667  0.333  0.922
P  0.164  0.329  0.629
P  0.164  0.329  0.871
P  0.164  0.836  0.629
P  0.164  0.836  0.871
P  0.329  0.164  0.129
P  0.329  0.164  0.371
P  0.671  0.836  0.629
P  0.671  0.836  0.871
P  0.836  0.164  0.129
P  0.836  0.164  0.371
P  0.836  0.671  0.129
P  0.836  0.671  0.371
Pt  0.333  0.667  0.750
Pt  0.667  0.333  0.250
W  0.000  0.000  0.250
W  0.000  0.000  0.750

---

Computed, not measured: a relaxed structure of Ba2TaReP6 at the PBE level of DFT.

Summary:
E	-6.26	eV/atom
mass density	6.06	g/cm³
spin magnetization	0.0	μB per formula unit

Unit cell a=7.251 b=7.251 c=6.554 alpha=97.84 beta=97.84 gamma=41.73
Element x y z (fractional)
Ba  0.206  0.206  0.260
Ba  0.794  0.794  0.740
Ta  0.000  0.000  0.500
Re  0.500  0.500  0.000
P  0.107  0.697  0.165
P  0.303  0.893  0.835
P  0.437  0.437  0.610
P  0.563  0.563  0.390
P  0.697  0.107  0.165
P  0.893  0.303  0.835

---

Computed, not measured: a relaxed structure of Ba3Tb2P4S16 at the PBE level of DFT.

Summary:
E	-5.29	eV/atom
mass density	3.56	g/cm³
spin magnetization	0.0	μB per formula unit

Unit cell a=19.325 b=10.371 c=12.725 alpha=90.00 beta=90.00 gamma=90.00
Element x y z (fractional)
Ba  0.000  0.118  0.250
Ba  0.000  0.882  0.750
Ba  0.227  0.211  0.609
Ba  0.227  0.789  0.109
Ba  0.273  0.289  0.109
Ba  0.273  0.711  0.609
Ba  0.500  0.382  0.750
Ba  0.500  0.618  0.250
Ba  0.727  0.289  0.391
Ba  0.727  0.711  0.891
Ba  0.773  0.211  0.891
Ba  0.773  0.789  0.391
Tb  0.074  0.372  0.887
Tb  0.074  0.628  0.387
Tb  0.426  0.128  0.387
Tb  0.426  0.872  0.887
Tb  0.574  0.128  0.113
Tb  0.574  0.872  0.613
Tb  0.926  0.372  0.613
Tb  0.926  0.628  0.113
P  0.103  0.496  0.140
P  0.103  0.504  0.640
P  0.131  0.062  0.952
P  0.131  0.938  0.452
P  0.369  0.438  0.452
P  0.369  0.562  0.952
P  0.397  0.004  0.640
P  0.397  0.996  0.140
P  0.603  0.004  0.860
P  0.603  0.996  0.360
P  0.631  0.438  0.048
P  0.631  0.562  0.548
P  0.869  0.062  0.548
P  0.869  0.938  0.048
P  0.897  0.496  0.360
P  0.897  0.504  0.860
S  0.017  0.388  0.099
S  0.017  0.612  0.599
S  0.032  0.119  0.915
S  0.032  0.881  0.415
S  0.068  0.319  0.669
S  0.068  0.681  0.169
S  0.147  0.069  0.113
S  0.147  0.931  0.613
S  0.150  0.116  0.394
S  0.150  0.884  0.894
S  0.152  0.435  0.270
S  0.152  0.565  0.770
S  0.168  0.495  0.514
S  0.168  0.505  0.014
S  0.192  0.208  0.886
S  0.192  0.792  0.386
S  0.308  0.292  0.386
S  0.308  0.708  0.886
S  0.332  0.005  0.014
S  0.332  0.995  0.514
S  0.348  0.065  0.770
S  0.348  0.935  0.270
S  0.350  0.384  0.894
S  0.350  0.616  0.394
S  0.353  0.431  0.613
S  0.353  0.569  0.113
S  0.432  0.181  0.169
S  0.432  0.819  0.669
S  0.468  0.381  0.415
S  0.468  0.619  0.915
S  0.483  0.112  0.599
S  0.483  0.888  0.099
S  0.517  0.112  0.901
S  0.517  0.888  0.401
S  0.532  0.381  0.085
S  0.532  0.619  0.585
S  0.568  0.181  0.331
S  0.568  0.819  0.831
S  0.647  0.431  0.887
S  0.647  0.569  0.387
S  0.650  0.384  0.606
S  0.650  0.616  0.106
S  0.652  0.065  0.730
S  0.652  0.935  0.230
S  0.668  0.005  0.486
S  0.668  0.995  0.986
S  0.692  0.292  0.114
S  0.692  0.708  0.614
S  0.808  0.208  0.614
S  0.808  0.792  0.114
S  0.832  0.495  0.986
S  0.832  0.505  0.486
S  0.848  0.435  0.230
S  0.848  0.565  0.730
S  0.850  0.116  0.106
S  0.850  0.884  0.606
S  0.853  0.069  0.387
S  0.853  0.931  0.887
S  0.932  0.319  0.831
S  0.932  0.681  0.331
S  0.968  0.119  0.585
S  0.968  0.881  0.085
S  0.983  0.388  0.401
S  0.983  0.612  0.901

---

Computed, not measured: a relaxed structure of BaZrP2S8 at the PBE level of DFT.

Summary:
E	-5.32	eV/atom
mass density	2.98	g/cm³
spin magnetization	0.0	μB per formula unit

Unit cell a=6.013 b=6.013 c=9.240 alpha=97.67 beta=97.67 gamma=67.46
Element x y z (fractional)
Ba  0.000  0.000  0.000
Zr  0.000  0.000  0.500
P  0.387  0.387  0.714
P  0.613  0.613  0.286
S  0.238  0.720  0.288
S  0.256  0.256  0.520
S  0.280  0.762  0.712
S  0.320  0.320  0.907
S  0.680  0.680  0.093
S  0.720  0.238  0.288
S  0.744  0.744  0.480
S  0.762  0.280  0.712

---

Computed, not measured: a relaxed structure of Ba2SiP6W at the PBE level of DFT.

Summary:
E	-5.70	eV/atom
mass density	5.03	g/cm³
spin magnetization	0.0	μB per formula unit

Unit cell a=10.877 b=10.877 c=10.877 alpha=38.28 beta=38.28 gamma=38.28
Element x y z (fractional)
Ba  0.134  0.134  0.134
Ba  0.296  0.296  0.296
Ba  0.704  0.704  0.704
Ba  0.866  0.866  0.866
Si  0.407  0.407  0.407
Si  0.593  0.593  0.593
P  0.131  0.610  0.610
P  0.208  0.208  0.732
P  0.208  0.732  0.208
P  0.268  0.792  0.792
P  0.390  0.390  0.869
P  0.390  0.869  0.390
P  0.610  0.131  0.610
P  0.610  0.610  0.131
P  0.732  0.208  0.208
P  0.792  0.268  0.792
P  0.792  0.792  0.268
P  0.869  0.390  0.390
W  0.000  0.000  0.000
W  0.500  0.500  0.500

---

Computed, not measured: a relaxed structure of BaSm2P4 at the PBE level of DFT.

Summary:
E	-5.25	eV/atom
mass density	4.88	g/cm³
spin magnetization	0.0	μB per formula unit

Unit cell a=13.106 b=12.230 c=6.256 alpha=83.65 beta=68.03 gamma=28.32
Element x y z (fractional)
Ba  0.125  0.125  0.125
Ba  0.875  0.875  0.875
Sm  0.253  0.253  0.497
Sm  0.497  0.497  0.253
Sm  0.503  0.503  0.747
Sm  0.747  0.747  0.503
P  0.140  0.698  0.221
P  0.221  0.441  0.140
P  0.302  0.860  0.559
P  0.441  0.221  0.698
P  0.559  0.779  0.302
P  0.698  0.140  0.441
P  0.779  0.559  0.860
P  0.860  0.302  0.779

---

Computed, not measured: a relaxed structure of BaZn2SnP at the PBE level of DFT.

Summary:
E	-3.16	eV/atom
mass density	5.88	g/cm³

Unit cell a=7.184 b=7.184 c=7.184 alpha=145.57 beta=145.57 gamma=49.49
Element x y z (fractional)
Ba  0.000  0.000  0.000
Zn  0.277  0.777  0.500
Zn  0.777  0.277  0.500
Sn  0.646  0.646  0.000
P  0.385  0.385  0.000

---

Computed, not measured: a relaxed structure of BaTa8P4 at the PBE level of DFT.

Summary:
E	-9.47	eV/atom
mass density	10.87	g/cm³
spin magnetization	0.0	μB per formula unit

Unit cell a=8.754 b=8.754 c=8.754 alpha=92.36 beta=92.36 gamma=156.58
Element x y z (fractional)
Ba  0.000  0.000  0.000
Ta  0.019  0.629  0.648
Ta  0.228  0.337  0.565
Ta  0.337  0.772  0.109
Ta  0.371  0.019  0.390
Ta  0.629  0.981  0.610
Ta  0.663  0.228  0.891
Ta  0.772  0.663  0.435
Ta  0.981  0.371  0.352
P  0.245  0.582  0.826
P  0.418  0.245  0.663
P  0.582  0.755  0.337
P  0.755  0.418  0.174

---

Computed, not measured: a relaxed structure of BaTb2P2 at the PBE level of DFT.

Summary:
E	-5.29	eV/atom
mass density	6.07	g/cm³
spin magnetization	0.0	μB per formula unit

Unit cell a=4.486 b=4.486 c=7.034 alpha=90.00 beta=90.00 gamma=90.00
Element x y z (fractional)
Ba  0.000  0.000  0.000
Tb  0.000  0.500  0.500
Tb  0.500  0.000  0.500
P  0.500  0.500  0.240
P  0.500  0.500  0.760

---

Computed, not measured: a relaxed structure of BaTb2P4 at the PBE level of DFT.

Summary:
E	-5.24	eV/atom
mass density	5.16	g/cm³
spin magnetization	0.0	μB per formula unit

Unit cell a=12.826 b=11.939 c=6.244 alpha=83.44 beta=67.63 gamma=28.93
Element x y z (fractional)
Ba  0.125  0.125  0.125
Ba  0.875  0.875  0.875
Tb  0.254  0.254  0.496
Tb  0.496  0.496  0.254
Tb  0.504  0.504  0.746
Tb  0.746  0.746  0.504
P  0.145  0.697  0.212
P  0.212  0.445  0.145
P  0.303  0.855  0.555
P  0.445  0.212  0.697
P  0.555  0.788  0.303
P  0.697  0.145  0.445
P  0.788  0.555  0.855
P  0.855  0.303  0.788

---

Computed, not measured: a relaxed structure of Ba2ZrTcP6 at the PBE level of DFT.

Summary:
E	-6.01	eV/atom
mass density	4.60	g/cm³
spin magnetization	0.0	μB per formula unit

Unit cell a=6.426 b=6.426 c=7.541 alpha=115.23 beta=115.23 gamma=60.00
Element x y z (fractional)
Ba  0.246  0.246  0.240
Ba  0.754  0.754  0.760
Zr  0.000  0.000  0.500
Tc  0.500  0.500  0.000
P  0.255  0.740  0.238
P  0.259  0.259  0.760
P  0.260  0.745  0.762
P  0.740  0.255  0.238
P  0.741  0.741  0.240
P  0.745  0.260  0.762

---

Computed, not measured: a relaxed structure of BaTm2P2 at the PBE level of DFT.

Summary:
E	-5.01	eV/atom
mass density	6.09	g/cm³
spin magnetization	0.0	μB per formula unit

Unit cell a=8.897 b=8.897 c=7.407 alpha=90.00 beta=90.00 gamma=90.00
Element x y z (fractional)
Ba  0.000  0.000  0.000
Ba  0.000  0.000  0.500
Ba  0.000  0.500  0.359
Ba  0.500  0.000  0.859
Tm  0.194  0.500  0.939
Tm  0.323  0.500  0.470
Tm  0.500  0.194  0.439
Tm  0.500  0.323  0.970
Tm  0.500  0.677  0.970
Tm  0.500  0.806  0.439
Tm  0.677  0.500  0.470
Tm  0.806  0.500  0.939
P  0.260  0.272  0.199
P  0.260  0.728  0.199
P  0.272  0.260  0.699
P  0.272  0.740  0.699
P  0.728  0.260  0.699
P  0.728  0.740  0.699
P  0.740  0.272  0.199
P  0.740  0.728  0.199

---

Computed, not measured: a relaxed structure of BaTm8P4 at the PBE level of DFT.

Summary:
E	-5.08	eV/atom
mass density	7.26	g/cm³
spin magnetization	0.2	μB per formula unit

Unit cell a=9.167 b=9.167 c=9.167 alpha=93.77 beta=93.77 gamma=150.30
Element x y z (fractional)
Ba  0.000  0.000  0.000
Tm  0.031  0.642  0.673
Tm  0.261  0.333  0.594
Tm  0.333  0.739  0.073
Tm  0.358  0.031  0.389
Tm  0.642  0.969  0.611
Tm  0.667  0.261  0.927
Tm  0.739  0.667  0.406
Tm  0.969  0.358  0.327
P  0.247  0.548  0.795
P  0.452  0.247  0.700
P  0.548  0.753  0.300
P  0.753  0.452  0.205

---

Computed, not measured: a relaxed structure of Ba2TmP2 at the PBE level of DFT.

Summary:
E	-4.84	eV/atom
mass density	5.12	g/cm³
spin magnetization	0.4	μB per formula unit

Unit cell a=8.847 b=8.847 c=8.420 alpha=90.00 beta=90.00 gamma=150.16
Element x y z (fractional)
Ba  0.058  0.942  0.500
Ba  0.206  0.794  0.174
Ba  0.794  0.206  0.674
Ba  0.942  0.058  0.000
Tm  0.412  0.588  0.369
Tm  0.588  0.412  0.869
P  0.167  0.833  0.807
P  0.451  0.549  0.689
P  0.549  0.451  0.189
P  0.833  0.167  0.307